Entry from the Open Quantum Materials Database: a relaxed CsHoCl3 crystal (PBE-GGA).

Calculated values
The theoretical density comes out at 4.3 g/cm3. The calculation puts the energy above the most stable polymorph in this dataset at 0 meV/atom. The calculation puts the magnetization at 0.03 Bohr magnetons per cell.

Lattice parameters (Å, degrees): 13.231 7.615 6.248 90.00 90.20 90.00
Space group C2/m (No. 12)
Symmetry-distinct sites (fractional):
Cs: 0.166 0.000 0.249 [4 per cell]
Ho: 0.000 0.500 0.000 [2 per cell]
Ho: 0.000 0.500 0.500 [2 per cell]
Cl: 0.085 0.247 0.751 [8 per cell]
Cl: 0.168 0.500 0.252 [4 per cell]